# 1
This record from Alexandria via LeMat-Bulk describes a geometry-optimized PrEr4Al structure. The functional is PBE.

Lattice parameters (Å, degrees): 6.171 8.943 8.182 114.01 100.08 111.71
Atoms (fractional coordinates):
Al (0.751, 0.001, 0.001)
Al (0.249, 0.999, 0.999)
Er (0.239, 0.610, 0.774)
Er (0.765, 0.716, 0.636)
Er (0.629, 0.081, 0.364)
Er (0.371, 0.919, 0.636)
Er (0.036, 0.165, 0.774)
Er (0.964, 0.835, 0.226)
Er (0.235, 0.284, 0.364)
Er (0.761, 0.390, 0.226)
Pr (0.348, 0.598, 0.197)
Pr (0.652, 0.402, 0.803)

DOS at the Fermi energy (states/eV per cell): 14.28
Energy of formation from the pure elements (eV/atom): -0.042
Polymorph energy (0 for the lowest one) (eV/atom): 0.074
Crystal system: monoclinic



# 2
This record from Alexandria via LeMat-Bulk describes a geometry-optimized Pr3Er2Al3 structure. The functional is PBE.

Lattice parameters (Å, degrees): 3.322 8.624 8.624 120.00 90.00 90.00
Atoms (fractional coordinates):
Pr (0.000, 0.000, 0.245)
Pr (0.000, 0.245, 0.000)
Pr (0.000, 0.755, 0.755)
Al (0.500, 0.000, 0.609)
Al (0.500, 0.609, 0.000)
Al (0.500, 0.391, 0.391)
Er (0.000, 0.333, 0.667)
Er (0.000, 0.667, 0.333)

DOS at the Fermi energy (states/eV per cell): 8.88
Energy of formation from the pure elements (eV/atom): -0.228
Crystal system: hexagonal



| no. | total DFT energy (no corrections) (eV/atom) |
| --- | --- |
| 1 | -4.505 |
| 2 | -4.564 |